TbPuAsO2 after structural relaxation. Source: the Alexandria database, functional PBE-GGA.

Geometry as CIF:
```
data_TbPuAsO2
_cell_length_a 3.807
_cell_length_b 3.807
_cell_length_c 12.406
_cell_angle_alpha 90.00
_cell_angle_beta 90.00
_cell_angle_gamma 90.00
_symmetry_space_group_name_H-M 'I 4 m m'
_symmetry_Int_Tables_number 107
_symmetry_space_group_name_Hall 'I 4 -2'
loop_
_atom_site_label
_atom_site_fract_x
_atom_site_fract_y
_atom_site_fract_z
Tb1 0.000 0.000 0.000
Pu1 0.000 0.000 0.697
As1 0.000 0.000 0.345
O1 0.000 0.500 0.098
```

Calculated values
Crystal system ... tetragonal
E_form (uncorrected) ... -2.487 eV per atom
Magnetic moment ... 8.95 μB per cell
D(E_F) ... 1.9174 states/eV/atom